(1)
# Ti2NbGa4, optimized geometry, DFT PBE
# DFT total energy   -5.69 eV/atom
# Calculated formation energy   -0.27 eV per atom
data_Ti2NbGa4
_chemical_formula_sum 'Ti4 Nb2 Ga8'
_space_group_name_H-M_alt 'P 1'
_space_group_IT_number 1
_space_group_name_Hall 'P 1'
_cell_length_a 5.4812
_cell_length_b 6.4069
_cell_length_c 7.4117
_cell_angle_alpha 90.00
_cell_angle_beta 68.36
_cell_angle_gamma 89.98
loop_
_atom_site_label
_atom_site_type_symbol
_atom_site_fract_x
_atom_site_fract_y
_atom_site_fract_z
_atom_site_occupancy
Ti1 Ti 0.0000 0.0000 0.0000 1
Ti2 Ti 0.0513 0.0006 0.4105 1
Ti3 Ti 0.5005 0.0003 0.0022 1
Ti4 Ti 0.7386 0.5009 0.0246 1
Nb1 Nb 0.2558 0.5019 0.4866 1
Nb2 Nb 0.7592 0.4989 0.4882 1
Ga1 Ga 0.1658 0.6884 0.1652 1
Ga2 Ga 0.1670 0.3125 0.1644 1
Ga3 Ga 0.3719 0.2583 0.7561 1
Ga4 Ga 0.3720 0.7392 0.7584 1
Ga5 Ga 0.6022 0.1958 0.2985 1
Ga6 Ga 0.6044 0.8053 0.2991 1
Ga7 Ga 0.8833 0.2310 0.7333 1
Ga8 Ga 0.8836 0.7701 0.7327 1



(2)
# Ti4NbGa5, optimized geometry, DFT PBE
# DFT total energy   -5.75 eV/atom
# Calculated formation energy   -0.08 eV per atom
data_Ti4NbGa5
_chemical_formula_sum 'Ti8 Nb2 Ga10'
_space_group_name_H-M_alt 'I 4'
_space_group_IT_number 79
_space_group_name_Hall 'I 4'
_cell_length_a 8.2691
_cell_length_b 8.2691
_cell_length_c 5.2328
_cell_angle_alpha 90.00
_cell_angle_beta 90.00
_cell_angle_gamma 90.00
loop_
_atom_site_label
_atom_site_type_symbol
_atom_site_fract_x
_atom_site_fract_y
_atom_site_fract_z
_atom_site_occupancy
Ti1 Ti 0.1012 0.2986 0.0000 1
Nb1 Nb 0.0000 0.0000 0.4988 1
Ga1 Ga 0.0000 0.0000 0.9988 1
Ga2 Ga 0.0987 0.3027 0.5000 1